[1]
8
Lattice="-3.387 0.891 -1.727 1.018 -2.142 -3.102 -2.547 -6.455 6.079" Properties=species:S:1:pos:R:3 comment="Ta2SiS (GGA-PBEsol, optimized geometry)" raw_formation_energy_mev_per_atom=168 sg=I-42d total_magnetization_mub_per_cell=0.00 final_energy_ev_per_fu=-34.6 pbc="T T T"
S -1.357 -4.611 0.282
S 0.000 0.000 0.000
Si -3.559 -3.095 0.969
Si -1.184 -0.626 -2.414
Ta -3.225 -1.636 -1.157
Ta -1.010 -3.156 -1.838
Ta -3.389 -5.627 1.536
Ta -2.208 -4.993 3.962

---

[2]
45
Lattice="9.695 -0.001 0.000 4.845 10.105 0.009 4.845 3.820 9.370" Properties=species:S:1:pos:R:3 comment="Tb12Si5S28 (GGA-PBEsol, optimized geometry)" raw_formation_energy_mev_per_atom=-1664 sg=P1 total_magnetization_mub_per_cell=0.00 final_energy_ev_per_fu=-286.5 pbc="T T T"
Tb 10.170 12.081 6.589
Tb 5.294 5.398 1.720
Tb 11.750 8.718 3.985
Tb 11.661 5.497 8.915
Tb 7.169 9.355 4.412
Tb 2.403 2.374 0.039
Tb 9.218 1.592 2.871
Tb 14.138 8.805 7.464
Tb 7.720 5.268 5.110
Tb 7.586 8.422 0.632
Tb 12.103 4.672 4.719
Tb 12.237 7.758 0.175
Si 4.884 1.839 2.373
Si 9.655 8.704 6.984
Si 9.705 2.587 6.231
Si 9.684 5.701 1.513
Si 4.860 5.255 7.238
S 9.692 10.754 4.107
S 9.683 7.561 8.749
S 9.690 4.445 3.208
S 14.550 11.603 8.039
S 3.415 3.389 2.386
S 8.074 10.149 6.949
S 6.681 2.969 2.101
S 11.524 9.688 6.635
S 4.529 0.681 0.599
S 9.401 7.597 5.183
S 11.249 2.056 4.865
S 11.232 5.157 0.136
S 7.857 2.450 5.160
S 7.882 5.570 0.379
S 9.980 4.677 6.609
S 9.966 7.774 1.908
S 5.097 4.365 5.126
S 10.026 11.255 9.328
S 12.448 9.960 1.688
S 12.775 6.590 6.597
S 6.567 10.454 2.031
S 6.404 6.944 6.834
S 14.218 9.489 4.815
S 9.383 2.405 0.006
S 6.735 3.969 7.866
S 6.870 7.005 3.143
S 12.962 3.507 7.552
S 12.829 6.567 2.847

---

[3]
76
Lattice="9.766 0.000 0.058 0.000 10.864 0.000 -3.732 0.000 15.794" Properties=species:S:1:pos:R:3 comment="Tb4Si3S12 (GGA-PBEsol, optimized geometry)" raw_formation_energy_mev_per_atom=-1454 sg=P2_1/c total_magnetization_mub_per_cell=0.00 final_energy_ev_per_fu=-117.5 pbc="T T T"
Tb 5.069 2.843 12.527
Tb 3.981 8.275 11.251
Tb 0.964 8.021 3.325
Tb 2.053 2.589 4.601
Tb -2.054 9.505 9.970
Tb 1.338 4.073 13.750
Tb 8.087 1.360 5.882
Tb 4.695 6.792 2.102
Tb 1.580 1.649 8.855
Tb -2.295 7.082 14.865
Tb 4.454 9.215 6.997
Tb 8.329 3.783 0.987
Tb -1.263 5.247 9.884
Tb 0.547 10.679 13.836
Tb 7.296 5.617 5.968
Tb 5.486 0.185 2.016
Si -0.699 2.329 11.595
Si -0.017 7.762 12.124
Si 6.732 8.535 4.256
Si 6.050 3.103 3.727
Si 0.299 4.163 6.958
Si 2.717 9.596 0.968
Si 5.734 6.701 8.894
Si 3.316 1.269 14.884
Si 4.737 0.587 9.787
Si 4.313 6.019 13.991
Si 1.297 10.277 6.065
Si 1.720 4.845 1.861
S -0.040 0.422 10.884
S -0.676 5.855 12.835
S 6.073 10.442 4.967
S 6.709 5.010 3.016
S -0.235 6.098 7.475
S 3.252 0.666 0.450
S 6.268 4.766 8.376
S 2.782 10.198 15.401
S 4.000 2.540 9.938
S 5.050 7.972 13.839
S 2.033 8.325 5.914
S 0.984 2.893 2.012
S -0.177 10.588 7.563
S 3.194 5.155 0.362
S 6.210 0.277 8.288
S 2.839 5.709 15.489
S 5.573 10.620 11.571
S 3.477 5.188 12.206
S 0.461 0.245 4.281
S 2.556 5.677 3.645
S 3.060 10.159 9.394
S 5.990 4.727 14.384
S 2.974 0.706 6.458
S 0.043 6.138 1.468
S 2.340 3.762 7.088
S 0.677 9.194 0.838
S 3.693 7.103 8.764
S 5.356 1.671 15.013
S -0.845 2.819 8.146
S 0.130 8.251 15.573
S 6.879 8.046 7.705
S 5.904 2.613 0.278
S 0.833 3.656 10.869
S -1.549 9.088 12.850
S 5.200 7.208 4.982
S 7.582 1.776 3.001
S 0.044 7.742 10.023
S -0.760 2.310 13.697
S 5.989 3.123 5.829
S 6.793 8.555 2.155
S 6.444 7.093 10.877
S 2.606 1.661 12.901
S -0.410 3.771 4.975
S 3.427 9.204 2.951
S -2.562 2.984 10.860
S 1.846 8.416 12.860
S 8.596 7.881 4.992
S 4.187 2.448 2.992

---

[4]
8
Lattice="-2.209 -3.336 3.233 2.167 -3.906 -2.550 4.184 3.891 2.782" Properties=species:S:1:pos:R:3 comment="SiTcS2 (GGA-PBEsol, optimized geometry)" raw_formation_energy_mev_per_atom=25 sg=I-42d total_magnetization_mub_per_cell=0.00 final_energy_ev_per_fu=-25.7 pbc="T T T"
S -0.066 -3.398 2.555
S 2.105 -3.709 -0.311
S 3.103 -1.593 2.523
S 3.141 1.998 2.162
Si 0.977 -1.533 3.178
Si -0.021 -3.621 0.341
Tc 3.165 -1.818 0.287
Tc 0.000 0.000 0.000